CaErO2 | PBE | relaxed

```
CaErO2
1.0
3.6341 0.0000 0.0000
1.8170 3.1472 0.0000
1.8170 1.0491 6.5994
O Ca Er
2 1 1
direct
0.1047 0.1047 0.6859 O
0.8953 0.8953 0.3141 O
0.5000 0.5000 0.5000 Ca
0.0000 0.0000 0.0000 Er
```

Summary:
- E above lowest polymorph (meV per atom) = 425.6
- D(E_F) (states/eV per cell) = 1.5
- ΔE_f (raw) (eV/atom) = -2.439
- space-group type = R-3m (166)